1.
VASP calculation (GGA+U) on a relaxed Rb2SrV2O6 crystal.

POSCAR file:
```
Rb2SrV2O6
1.0
3.161 1.825 6.374
-3.161 1.825 6.374
0.000 -3.650 6.374
Rb Sr V O
2 1 2 6
direct
0.212 0.212 0.212
0.788 0.788 0.788
0.000 0.000 0.000
0.431 0.431 0.431
0.569 0.569 0.569
0.261 0.261 0.726
0.261 0.726 0.261
0.274 0.739 0.739
0.726 0.261 0.261
0.739 0.274 0.739
0.739 0.739 0.274
```

2.
VASP calculation (GGA+U) on a relaxed Rb2SrVO4 crystal.

POSCAR file:
```
Rb2SrVO4
1.0
0.000 6.485 12.206
3.116 0.000 12.206
3.116 6.485 0.000
Rb Sr V O
4 2 2 8
direct
0.063 0.063 0.687
0.313 0.313 0.937
0.687 0.687 0.063
0.937 0.937 0.313
0.125 0.125 0.125
0.875 0.875 0.875
0.375 0.375 0.375
0.625 0.625 0.625
0.082 0.594 0.509
0.315 0.509 0.594
0.406 0.918 0.685
0.491 0.685 0.918
0.509 0.315 0.082
0.594 0.082 0.315
0.685 0.491 0.406
0.918 0.406 0.491
```

3.
VASP calculation (GGA+U) on a relaxed RbSrV2O6 crystal.

POSCAR file:
```
RbSrV2O6
1.0
5.551 -5.410 0.000
5.551 5.410 0.000
-1.305 0.000 5.860
Rb Sr V O
2 2 4 12
direct
0.176 0.824 0.750
0.824 0.176 0.250
0.392 0.608 0.250
0.608 0.392 0.750
0.135 0.305 0.781
0.305 0.135 0.281
0.695 0.865 0.719
0.865 0.695 0.219
0.077 0.628 0.280
0.157 0.180 0.023
0.180 0.157 0.523
0.295 0.466 0.847
0.372 0.923 0.220
0.466 0.295 0.347
0.534 0.705 0.653
0.628 0.077 0.780
0.705 0.534 0.153
0.820 0.843 0.477
0.843 0.820 0.977
0.923 0.372 0.720
```

4.
VASP calculation (GGA+U) on a relaxed RbSrVO4 crystal.

POSCAR file:
```
RbSrVO4
1.0
6.170 0.000 0.000
0.000 6.084 0.000
-2.053 0.000 7.397
Rb Sr V O
2 2 2 8
direct
0.202 0.250 0.425
0.798 0.750 0.575
0.284 0.250 0.948
0.716 0.750 0.052
0.253 0.750 0.170
0.747 0.250 0.830
0.076 0.750 0.313
0.080 0.750 0.952
0.434 0.523 0.195
0.434 0.977 0.195
0.566 0.023 0.805
0.566 0.477 0.805
0.920 0.250 0.048
0.924 0.250 0.687
```

Number 1: VASP energy -6.46 eV/atom. Number 2: VASP energy -5.62 eV/atom. Number 3: VASP energy -6.93 eV/atom. Number 4: VASP energy -6.61 eV/atom.